# 1
Computed, not measured: a relaxed LaCrAg crystal at the PBE-GGA level of DFT.

Values from the calculation:
The value obtained for the energy of formation is 0.99 eV per formula unit. Its offset from the most stable computed form is 0.099 eV per atom. The value obtained for the theoretical density is 6.8 Mg/m³. As for the total energy: -16.41 eV per formula unit.

The structure in CIF format:
```
data_LaCrAg
_symmetry_space_group_name_H-M 'P -6 m 2'
_symmetry_Int_Tables_number 187
_symmetry_space_group_name_Hall 'P -6 2'
_cell_length_a 4.4102
_cell_length_b 4.4102
_cell_length_c 4.3372
_cell_angle_alpha 90.00
_cell_angle_beta 90.00
_cell_angle_gamma 120.00
loop_
_atom_site_label
_atom_site_type_symbol
_atom_site_fract_x
_atom_site_fract_y
_atom_site_fract_z
La1 La 0.0000 0.0000 0.0000
Cr1 Cr 0.3333 0.6667 0.5000
Ag1 Ag 0.6667 0.3333 0.5000
```



# 2
Computed, not measured: a relaxed La2CrAg crystal at the PBE-GGA level of DFT.

Values from the calculation:
The value obtained for the energy of formation is 1.22 eV per formula unit. Its offset from the most stable computed form is 0.200 eV per atom. The value obtained for the theoretical density is 6.5 Mg/m³. As for the total energy: -21.11 eV per formula unit.

The structure in CIF format:
```
data_La2CrAg
_symmetry_space_group_name_H-M 'C 1 2/m 1'
_symmetry_Int_Tables_number 12
_cell_length_a 7.5720
_cell_length_b 3.4319
_cell_length_c 8.6368
_cell_angle_alpha 90.00
_cell_angle_beta 98.25
_cell_angle_gamma 90.00
loop_
_symmetry_equiv_pos_as_xyz
'x,y,z'
'-x,-y,-z'
'-x,y,-z'
'x,-y,z'
'x+1/2,y+1/2,z'
'-x+1/2,-y+1/2,-z'
'-x+1/2,y+1/2,-z'
'x+1/2,-y+1/2,z'
loop_
_atom_site_label
_atom_site_type_symbol
_atom_site_fract_x
_atom_site_fract_y
_atom_site_fract_z
La1 La 0.2484 0.0000 0.2685
Cr1 Cr 0.0000 0.0000 0.5000
Ag1 Ag 0.0000 0.5000 0.0000
```



# 3
Computed, not measured: a relaxed LaCrAg2 crystal at the PBE-GGA level of DFT.

Values from the calculation:
The value obtained for the energy of formation is 0.88 eV per formula unit. Its offset from the most stable computed form is 0.096 eV per atom. The value obtained for the theoretical density is 7.6 Mg/m³. As for the total energy: -19.38 eV per formula unit.

The structure in CIF format:
```
data_LaCrAg2
_symmetry_space_group_name_H-M 'P 4 m m'
_symmetry_Int_Tables_number 99
_cell_length_a 3.5802
_cell_length_b 3.5802
_cell_length_c 6.9521
_cell_angle_alpha 90.00
_cell_angle_beta 90.00
_cell_angle_gamma 90.00
loop_
_symmetry_equiv_pos_as_xyz
'x,y,z'
'-y,x,z'
'-x,-y,z'
'y,-x,z'
'-x,y,z'
'y,x,z'
'x,-y,z'
'-y,-x,z'
loop_
_atom_site_label
_atom_site_type_symbol
_atom_site_fract_x
_atom_site_fract_y
_atom_site_fract_z
La1 La 0.0000 0.0000 0.0000
Cr1 Cr 0.5000 0.5000 0.7037
Ag1 Ag 0.0000 0.0000 0.5133
Ag2 Ag 0.5000 0.5000 0.2994
```



# 4
Computed, not measured: a relaxed La3CrAg crystal at the PBE-GGA level of DFT.

Values from the calculation:
The value obtained for the energy of formation is 1.20 eV per formula unit. The value obtained for the theoretical density is 6.5 Mg/m³. As for the total energy: -26.05 eV per formula unit.

The structure in CIF format:
```
data_La3CrAg
_symmetry_space_group_name_H-M 'P m -3 m'
_symmetry_Int_Tables_number 221
_symmetry_space_group_name_Hall '-P 4 2 3'
_cell_length_a 5.2903
_cell_length_b 5.2903
_cell_length_c 5.2903
_cell_angle_alpha 90.00
_cell_angle_beta 90.00
_cell_angle_gamma 90.00
loop_
_atom_site_label
_atom_site_type_symbol
_atom_site_fract_x
_atom_site_fract_y
_atom_site_fract_z
La1 La 0.0000 0.0000 0.5000
Cr1 Cr 0.0000 0.0000 0.0000
Ag1 Ag 0.5000 0.5000 0.5000
```



# 5
Computed, not measured: a relaxed LaCrAg crystal at the PBE-GGA level of DFT.

Values from the calculation:
The value obtained for the energy of formation is 2.47 eV per formula unit. Its offset from the most stable computed form is 0.592 eV per atom. The value obtained for the theoretical density is 5.5 Mg/m³. As for the total energy: -14.93 eV per formula unit.

The structure in CIF format:
```
data_LaCrAg
_symmetry_space_group_name_H-M 'F -4 3 m'
_symmetry_Int_Tables_number 216
_symmetry_space_group_name_Hall 'F -4 2 3'
_cell_length_a 7.1055
_cell_length_b 7.1055
_cell_length_c 7.1055
_cell_angle_alpha 90.00
_cell_angle_beta 90.00
_cell_angle_gamma 90.00
loop_
_atom_site_label
_atom_site_type_symbol
_atom_site_fract_x
_atom_site_fract_y
_atom_site_fract_z
La1 La 0.0000 0.0000 0.0000
Cr1 Cr 0.2500 0.2500 0.2500
Ag1 Ag 0.2500 0.2500 0.7500
```



# 6
Computed, not measured: a relaxed LaCrAg2 crystal at the PBE-GGA level of DFT.

Values from the calculation:
The value obtained for the energy of formation is 1.84 eV per formula unit. Its offset from the most stable computed form is 0.336 eV per atom. The value obtained for the theoretical density is 7.7 Mg/m³. As for the total energy: -18.42 eV per formula unit.

The structure in CIF format:
```
data_LaCrAg2
_symmetry_space_group_name_H-M 'R -3 m'
_symmetry_Int_Tables_number 166
_symmetry_space_group_name_Hall '-R 3 2"'
_cell_length_a 3.1991
_cell_length_b 3.1991
_cell_length_c 29.7542
_cell_angle_alpha 90.00
_cell_angle_beta 90.00
_cell_angle_gamma 120.00
loop_
_atom_site_label
_atom_site_type_symbol
_atom_site_fract_x
_atom_site_fract_y
_atom_site_fract_z
La1 La 0.0000 0.0000 0.0000
Cr1 Cr 0.0000 0.0000 0.5000
Ag1 Ag 0.0000 0.0000 0.2397
```



Question: Look up the energy of formation of the second one.
Answer: 1.22 eV per formula unit